Arrangement w

Density functional theory data (PBE) for a relaxed HoTh2Al crystal.

Lattice parameters (Å, degrees): 3.3634 3.3634 35.5788 90.00 90.00 120.00
Closest atoms and distances in Å follow each position.
Atoms (fractional coordinates):
Ho 0.0000 0.0000 0.0000  2 Th 3.31, 6 Ho 3.36
Ho 0.3333 0.6667 0.6667  2 Th 3.31, 6 Ho 3.36
Ho 0.6667 0.3333 0.3333  2 Th 3.31, 6 Ho 3.36
Th 0.0000 0.0000 0.0930  3 Al 3.26, 1 Ho 3.31, 6 Th 3.36
Th 0.0000 0.0000 0.9070  3 Al 3.26, 1 Ho 3.31, 6 Th 3.36
Th 0.3333 0.6667 0.5736  3 Al 3.26, 1 Ho 3.31, 6 Th 3.36
Th 0.3333 0.6667 0.7597  3 Al 3.26, 1 Ho 3.31, 6 Th 3.36
Th 0.6667 0.3333 0.2403  3 Al 3.26, 1 Ho 3.31, 6 Th 3.36
Th 0.6667 0.3333 0.4264  3 Al 3.26, 1 Ho 3.31, 6 Th 3.36
Al 0.0000 0.0000 0.5000  6 Th 3.26, 6 Al 3.36
Al 0.3333 0.6667 0.1667  6 Th 3.26, 6 Al 3.36
Al 0.6667 0.3333 0.8333  6 Th 3.26, 6 Al 3.36

=====

Arrangement x

Density functional theory data (PBE) for a relaxed HoTh2Al crystal.

Lattice parameters (Å, degrees): 3.4598 3.4598 9.6435 90.00 90.00 90.00
Closest atoms and distances in Å follow each position.
Atoms (fractional coordinates):
Ho 0.0000 0.0000 0.0000  4 Ho 3.46, 8 Th 3.64
Th 0.5000 0.5000 0.2798  4 Al 3.24, 4 Th 3.46
Th 0.5000 0.5000 0.7202  4 Al 3.24, 4 Th 3.46
Al 0.0000 0.0000 0.5000  8 Th 3.24, 4 Al 3.46

=====

We find arrangement x to be the most stable, with the next structure 246 meV per atom higher.

=====

Arrangement w

Density functional theory data (PBE) for a relaxed HoTh2Al crystal.

Lattice parameters (Å, degrees): 7.6807 7.6807 7.6807 90.00 90.00 90.00
Closest atoms and distances in Å follow each position.
Atoms (fractional coordinates):
Ho 0.0000 0.0000 0.0000  8 Th 3.33
Ho 0.0000 0.5000 0.5000  8 Th 3.33
Ho 0.5000 0.0000 0.5000  8 Th 3.33
Ho 0.5000 0.5000 0.0000  8 Th 3.33
Th 0.2500 0.2500 0.2500  4 Ho 3.33, 4 Al 3.33
Th 0.2500 0.2500 0.7500  4 Ho 3.33, 4 Al 3.33
Th 0.2500 0.7500 0.2500  4 Ho 3.33, 4 Al 3.33
Th 0.2500 0.7500 0.7500  4 Ho 3.33, 4 Al 3.33
Th 0.7500 0.2500 0.2500  4 Ho 3.33, 4 Al 3.33
Th 0.7500 0.2500 0.7500  4 Ho 3.33, 4 Al 3.33
Th 0.7500 0.7500 0.2500  4 Ho 3.33, 4 Al 3.33
Th 0.7500 0.7500 0.7500  4 Ho 3.33, 4 Al 3.33
Al 0.0000 0.0000 0.5000  8 Th 3.33
Al 0.0000 0.5000 0.0000  8 Th 3.33
Al 0.5000 0.0000 0.0000  8 Th 3.33
Al 0.5000 0.5000 0.5000  8 Th 3.33

=====

Arrangement x

Density functional theory data (PBE) for a relaxed HoTh2Al crystal.

Lattice parameters (Å, degrees): 4.7843 4.7843 4.8926 90.00 90.00 90.00
Closest atoms and distances in Å follow each position.
Atoms (fractional coordinates):
Ho 0.0000 0.0000 0.0000  4 Al 3.38, 8 Th 3.42
Th 0.0000 0.5000 0.5000  4 Th 3.38, 4 Ho 3.42, 4 Al 3.42
Th 0.5000 0.0000 0.5000  4 Th 3.38, 4 Ho 3.42, 4 Al 3.42
Al 0.5000 0.5000 0.0000  4 Ho 3.38, 8 Th 3.42

=====

We find arrangement x to be the most stable, with the next structure 187 meV per atom higher.

=====

Arrangement w

Density functional theory data (PBE) for a relaxed HoThAl crystal.

Lattice parameters (Å, degrees): 4.7893 4.7893 7.5140 90.00 90.00 90.00
Closest atoms and distances in Å follow each position.
Atoms (fractional coordinates):
Ho 0.2500 0.2500 0.2490  4 Al 3.05, 4 Th 3.39
Ho 0.7500 0.7500 0.7510  4 Al 3.05, 4 Th 3.39
Th 0.2500 0.2500 0.7768  4 Al 3.17, 5 Ho 3.39-3.55
Th 0.7500 0.7500 0.2232  4 Al 3.17, 5 Ho 3.39-3.55
Al 0.2500 0.7500 0.5000  4 Ho 3.05, 4 Th 3.17, 4 Al 3.39
Al 0.7500 0.2500 0.5000  4 Ho 3.05, 4 Th 3.17, 4 Al 3.39

=====

Arrangement x

Density functional theory data (PBE) for a relaxed HoThAl crystal.

Lattice parameters (Å, degrees): 5.1124 5.1124 3.6132 90.00 90.00 120.00
Closest atoms and distances in Å follow each position.
Atoms (fractional coordinates):
Ho 0.0000 0.0000 0.0000  3 Al 3.04, 3 Th 3.36
Th 0.3333 0.6667 0.5536  3 Al 3.22, 6 Ho 3.36-3.57
Al 0.6667 0.3333 0.1968  3 Ho 3.04, 3 Th 3.22

=====

We find arrangement x to be the most stable, with the next structure 64 meV per atom higher.

=====

Arrangement w

Density functional theory data (PBE) for a relaxed Ho2ThAl crystal.

Lattice parameters (Å, degrees): 3.5362 3.5362 31.5701 90.00 90.00 120.00
Closest atoms and distances in Å follow each position.
Atoms (fractional coordinates):
Ho 0.0000 0.0000 0.0000  3 Al 3.08
Ho 0.0000 0.0000 0.1879  3 Al 3.06
Ho 0.3333 0.6667 0.6667  3 Al 3.08
Ho 0.3333 0.6667 0.8546  3 Al 3.06
Ho 0.6667 0.3333 0.3333  3 Al 3.08
Ho 0.6667 0.3333 0.5213  3 Al 3.06
Th 0.0000 0.0000 0.4275  6 Th 3.54, 6 Ho 3.60-3.61
Th 0.3333 0.6667 0.0942  6 Th 3.54, 6 Ho 3.60-3.61
Th 0.6667 0.3333 0.7609  6 Th 3.54, 6 Ho 3.60-3.61
Al 0.0000 0.0000 0.5936  6 Ho 3.06-3.08
Al 0.3333 0.6667 0.2603  6 Ho 3.06-3.08
Al 0.6667 0.3333 0.9269  6 Ho 3.06-3.08

=====

Arrangement x

Density functional theory data (PBE) for a relaxed Ho2ThAl crystal.

Lattice parameters (Å, degrees): 4.7877 4.7877 4.7725 90.00 90.00 90.00
Closest atoms and distances in Å follow each position.
Atoms (fractional coordinates):
Ho 0.0000 0.5000 0.0000  4 Al 3.38, 4 Th 3.38, 4 Ho 3.39
Ho 0.5000 0.0000 0.0000  4 Al 3.38, 4 Th 3.38, 4 Ho 3.39
Th 0.0000 0.0000 0.5000  8 Ho 3.38, 4 Al 3.39
Al 0.5000 0.5000 0.5000  8 Ho 3.38, 4 Th 3.39

=====

We find arrangement x to be the most stable, with the next structure 99 meV per atom higher.